Material: P4RuPt
Method: DFT, PBE
State: optimized geometry

Geometry as POSCAR:
```
P4RuPt
1.0
0.0000 3.4991 3.4991
3.4991 0.0000 3.4991
3.4991 3.4991 0.0000
P Ru Pt
4 1 1
direct
0.6254 0.6254 0.1237 P
0.6254 0.1237 0.6254 P
0.6254 0.6254 0.6254 P
0.1237 0.6254 0.6254 P
0.0000 0.0000 0.0000 Ru
0.2500 0.2500 0.2500 Pt
```

Output
- Symmetry: F-43m
- Total energy: -5.4239 eV/atom

=====

Material: CsRbNiI2
Method: DFT, PBE
State: optimized geometry

Geometry as POSCAR:
```
CsRbNiI2
1.0
6.9266 0.0000 0.0000
0.0000 5.8961 0.0000
0.0000 0.0000 6.9266
Cs I Rb Ni
1 2 1 1
direct
0.5000 0.5000 0.5000 Cs
0.0000 0.0000 0.5000 I
0.5000 0.0000 0.0000 I
0.0000 0.0000 0.0000 Rb
0.0000 0.5000 0.0000 Ni
```

Output
- Symmetry: P4/mmm
- Total energy: -2.2763 eV/atom
- ΔE_f (raw): -0.14 eV/atom

=====

Material: CoHRu
Method: DFT, PBE
State: optimized geometry

Geometry as POSCAR:
```
CoHRu
1.0
3.7669 0.0000 0.0000
0.0000 2.6966 0.0000
0.0000 0.0000 5.2956
Co H Ru
2 2 2
direct
0.0000 0.0000 0.7957 Co
0.5000 0.5000 0.0267 Co
0.0000 0.5000 0.5799 H
0.5000 0.0000 0.7975 H
0.5000 0.5000 0.5153 Ru
0.0000 0.0000 0.2677 Ru
```

Output
- ΔE to the lowest computed polymorph: 16 meV/atom
- Symmetry: Pmm2
- Total energy: -6.4581 eV/atom

=====

Material: YEr2Zn
Method: DFT, PBE
State: optimized geometry

Geometry as POSCAR:
```
YEr2Zn
1.0
-2.6004 0.2662 -2.2444
-3.0211 -1.5118 0.6765
-5.5327 9.3097 4.8700
Y Zn Er
1 1 2
direct
0.5000 0.5000 0.5000 Y
0.0000 0.0000 0.0000 Zn
0.0863 0.0863 0.7412 Er
0.9137 0.9137 0.2588 Er
```

Output
- ΔE to the lowest computed polymorph: 438 meV/atom
- Symmetry: R-3m
- Total energy: -3.9445 eV/atom

=====

Question: Among the records above, which one has the lowest total energy?
Answer: CoHRu